La4MgTe: optimized geometry, PBEsol.

Structure (extended XYZ):
```
6
Lattice="-1.2867 0.0367 -6.2752 -0.7438 -5.5284 -3.1495 -5.7997 -1.7400 -2.0906" Properties=species:S:1:pos:R:3 pbc="T T T"
La -2.9396 -2.7149 -4.3231
La -5.8298 -3.5820 -5.3649
La -3.5808 -2.6966 -7.4502
La -3.3103 -5.4699 -5.8926
Mg -5.8727 -5.4238 -8.6365
Te 0.0000 0.0000 0.0000
```

Values from the calculation:
The density is 6.321 g/cm3. The volume is 30.98 A^3/atom. The uncorrected formation energy is -9 meV per atom. Its size of the total moment is 0.00 μB/f.u. For the density of states at the Fermi level, the calculation gives 1.29 states/eV/atom.

---

Mg3Zr: optimized geometry, PBEsol.

Structure (extended XYZ):
```
4
Lattice="-1.8067 1.3716 -1.9136 -3.6120 -2.8778 1.3476 -0.6086 3.2611 5.3327" Properties=species:S:1:pos:R:3 pbc="T T T"
Mg -3.0469 1.6079 3.8540
Mg -0.3043 1.6306 2.6664
Mg -2.9804 0.1470 0.9127
Zr 0.0000 0.0000 0.0000
```

Values from the calculation:
The density is 3.138 g/cm3. The volume is 21.71 A^3/atom. Its size of the total moment is 0.00 μB/f.u. For the density of states at the Fermi level, the calculation gives 0.63 states/eV/atom. As for the formation energy: 0.0650 eV/atom.

---

TlIn2BiBr: optimized geometry, PBEsol.

Structure (extended XYZ):
```
5
Lattice="5.7840 0.0000 0.0000 0.0000 5.7698 0.0000 0.0000 0.0000 5.7698" Properties=species:S:1:pos:R:3 pbc="T T T"
Tl 0.0000 0.0000 0.0000
Bi 2.8920 0.0000 0.0000
Br 2.8920 2.8849 2.8849
In 0.0000 0.0000 2.8849
In 0.0000 2.8849 0.0000
```

Values from the calculation:
The density is 6.234 g/cm3. The volume is 38.51 A^3/atom. The uncorrected formation energy is 390 meV per atom. Its size of the total moment is 0.15 μB/f.u. For the density of states at the Fermi level, the calculation gives 1.02 states/eV/atom.

---

SrIrPt2: optimized geometry, PBEsol.

Structure (extended XYZ):
```
4
Lattice="-0.9576 3.5630 1.7527 -3.9945 -0.6973 -0.7650 -0.3681 -1.8934 3.6479" Properties=species:S:1:pos:R:3 pbc="T T T"
Ir -0.4788 1.7815 0.8763
Pt -0.1841 -0.9467 1.8239
Pt -1.9973 -0.3486 -0.3825
Sr -2.6601 0.4862 2.3178
```

Values from the calculation:
The density is 15.997 g/cm3. The value obtained for the energy above the most stable polymorph in this dataset is 0 meV per atom. The volume is 17.39 A^3/atom. Its size of the total moment is 0.00 μB/f.u. For the density of states at the Fermi level, the calculation gives 1.03 states/eV/atom. As for the formation energy: 0.0356 eV/atom.

---

In3AgPd: optimized geometry, PBEsol.

Structure (extended XYZ):
```
5
Lattice="5.0868 0.0000 0.0000 0.0000 5.0868 0.0000 0.0000 0.0000 5.0868" Properties=species:S:1:pos:R:3 pbc="T T T"
Pd 2.5434 2.5434 2.5434
Ag 0.0000 0.0000 0.0000
In 0.0000 2.5434 0.0000
In 0.0000 0.0000 2.5434
In 2.5434 0.0000 0.0000
```

Values from the calculation:
The density is 7.049 g/cm3. The volume is 26.33 A^3/atom. Its size of the total moment is 0.00 μB/f.u. For the density of states at the Fermi level, the calculation gives 0.39 states/eV/atom. As for the formation energy: 0.5442 eV/atom.

---

Ta2TcSe: optimized geometry, PBEsol.

Structure (extended XYZ):
```
4
Lattice="4.5083 0.0000 0.0000 2.2541 3.9043 0.0000 2.2541 1.3014 3.6810" Properties=species:S:1:pos:R:3 pbc="T T T"
Se 4.5083 2.6029 1.8405
Ta 0.0000 0.0000 0.0000
Ta 6.7624 3.9043 2.7608
Tc 2.2541 1.3014 0.9203
```

Values from the calculation:
The density is 13.810 g/cm3. The volume is 16.20 A^3/atom. The uncorrected formation energy is 306 meV per atom. Its size of the total moment is 0.00 μB/f.u. For the density of states at the Fermi level, the calculation gives 1.12 states/eV/atom.

---

K2Mg5Sn3: optimized geometry, PBEsol.

Structure (extended XYZ):
```
10
Lattice="4.9127 0.0000 0.0000 0.0000 4.9127 0.0000 -2.4564 -2.4564 11.7236" Properties=species:S:1:pos:R:3 pbc="T T T"
K 0.0000 0.0000 4.6556
K 2.4564 2.4564 7.0680
Mg 2.4564 0.0000 1.8854
Mg 0.0000 2.4564 1.8854
Mg 0.0000 2.4564 9.8383
Mg 2.4564 0.0000 9.8383
Mg 2.4564 2.4564 0.0000
Sn 0.0000 0.0000 0.0000
Sn 2.4564 2.4564 3.3618
Sn 0.0000 0.0000 8.3618
```

Values from the calculation:
The density is 3.262 g/cm3. The volume is 28.30 A^3/atom. Its size of the total moment is 0.00 μB/f.u. For the density of states at the Fermi level, the calculation gives 0.31 states/eV/atom. As for the formation energy: -0.2316 eV/atom.

---

TlSb2Mo: optimized geometry, PBEsol.

Structure (extended XYZ):
```
4
Lattice="-1.3001 -2.2601 1.6095 0.4676 -1.3055 -2.7324 9.2397 -3.1256 3.0745" Properties=species:S:1:pos:R:3 pbc="T T T"
Mo 1.8560 -2.5514 0.1946
Sb 0.5046 -0.1707 0.1679
Sb 6.3726 -4.0793 1.6975
Tl 4.2939 -1.4525 1.4288
```

Values from the calculation:
The density is 9.639 g/cm3. The value obtained for the energy above the most stable polymorph in this dataset is 377 meV per atom. The volume is 23.42 A^3/atom. The uncorrected formation energy is 477 meV per atom. Its size of the total moment is 0.00 μB/f.u. For the density of states at the Fermi level, the calculation gives 0.83 states/eV/atom.